# 1
First-principles (GGA-PBE) data for an optimized crystal structure of LaMgAuO3, as listed in OQMD.

The structure in CIF format:
```
data_LaMgAuO3
_chemical_formula_sum 'La4 Mg4 Au4 O12'
_cell_length_a 3.681
_cell_length_b 11.948
_cell_length_c 8.573
_cell_angle_alpha 90.00
_cell_angle_beta 90.00
_cell_angle_gamma 90.00
_symmetry_space_group_name_H-M 'C m c m'
_symmetry_Int_Tables_number 63
_symmetry_space_group_name_Hall '-C 2c 2'
loop_
_atom_site_label
_atom_site_type_symbol
_atom_site_fract_x
_atom_site_fract_y
_atom_site_fract_z
La1 La 0.000 0.000 0.000
Mg1 Mg 0.000 0.310 0.250
Au1 Au 0.000 0.359 0.750
O1 O 0.000 0.103 0.750
O2 O 0.000 0.177 0.100
```

volume: 15.71 Å³ per atom
uncorrected energy: -5.709 eV per atom

=====

# 2
First-principles (GGA-PBE) data for an optimized crystal structure of La2Mg4PdAu, as listed in OQMD.

The structure in CIF format:
```
data_La2Mg4PdAu
_chemical_formula_sum 'La4 Mg8 Pd2 Au2'
_cell_length_a 8.315
_cell_length_b 4.424
_cell_length_c 10.538
_cell_angle_alpha 90.00
_cell_angle_beta 90.00
_cell_angle_gamma 90.00
_symmetry_space_group_name_H-M 'A m m 2'
_symmetry_Int_Tables_number 38
_symmetry_space_group_name_Hall 'A 2 -2'
loop_
_atom_site_label
_atom_site_type_symbol
_atom_site_fract_x
_atom_site_fract_y
_atom_site_fract_z
La1 La 0.000 0.000 0.000
La2 La 0.500 0.000 0.119
Mg1 Mg 0.200 0.000 0.711
Mg2 Mg 0.309 0.000 0.409
Pd1 Pd 0.500 0.000 0.836
Au1 Au 0.000 0.000 0.290
```

volume: 24.23 Å³ per atom
uncorrected energy: -3.599 eV per atom

=====

# 3
First-principles (GGA-PBE) data for an optimized crystal structure of LaPr2Mg3Pd2Au, as listed in OQMD.

The structure in CIF format:
```
data_LaPr2Mg3Pd2Au
_chemical_formula_sum 'La2 Pr4 Mg6 Pd4 Au2'
_cell_length_a 4.197
_cell_length_b 13.304
_cell_length_c 7.735
_cell_angle_alpha 90.00
_cell_angle_beta 90.00
_cell_angle_gamma 90.00
_symmetry_space_group_name_H-M 'A m m 2'
_symmetry_Int_Tables_number 38
_symmetry_space_group_name_Hall 'A 2 -2'
loop_
_atom_site_label
_atom_site_type_symbol
_atom_site_fract_x
_atom_site_fract_y
_atom_site_fract_z
La1 La 0.000 0.000 0.000
Pr1 Pr 0.000 0.208 0.627
Mg1 Mg 0.500 0.000 0.658
Mg2 Mg 0.500 0.122 0.299
Pd1 Pd 0.500 0.165 0.920
Au1 Au 0.000 0.000 0.419
```

volume: 24.00 Å³ per atom
uncorrected energy: -4.295 eV per atom

=====

# 4
First-principles (GGA-PBE) data for an optimized crystal structure of La2SmMg3Pd2Au, as listed in OQMD.

The structure in CIF format:
```
data_La2SmMg3Pd2Au
_chemical_formula_sum 'La4 Sm2 Mg6 Pd4 Au2'
_cell_length_a 4.190
_cell_length_b 13.380
_cell_length_c 7.664
_cell_angle_alpha 90.00
_cell_angle_beta 90.00
_cell_angle_gamma 90.00
_symmetry_space_group_name_H-M 'A m m 2'
_symmetry_Int_Tables_number 38
_symmetry_space_group_name_Hall 'A 2 -2'
loop_
_atom_site_label
_atom_site_type_symbol
_atom_site_fract_x
_atom_site_fract_y
_atom_site_fract_z
La1 La 0.000 0.209 0.000
Sm1 Sm 0.000 0.000 0.624
Mg1 Mg 0.500 0.000 0.964
Mg2 Mg 0.500 0.119 0.332
Pd1 Pd 0.500 0.167 0.710
Au1 Au 0.000 0.000 0.211
```

volume: 23.87 Å³ per atom
uncorrected energy: -4.318 eV per atom

=====

# 5
First-principles (GGA-PBE) data for an optimized crystal structure of LaSm2Mg3Pd2Au, as listed in OQMD.

The structure in CIF format:
```
data_LaSm2Mg3Pd2Au
_chemical_formula_sum 'La2 Sm4 Mg6 Pd4 Au2'
_cell_length_a 4.164
_cell_length_b 13.199
_cell_length_c 7.700
_cell_angle_alpha 90.00
_cell_angle_beta 90.00
_cell_angle_gamma 90.00
_symmetry_space_group_name_H-M 'A m m 2'
_symmetry_Int_Tables_number 38
_symmetry_space_group_name_Hall 'A 2 -2'
loop_
_atom_site_label
_atom_site_type_symbol
_atom_site_fract_x
_atom_site_fract_y
_atom_site_fract_z
La1 La 0.000 0.000 0.000
Sm1 Sm 0.000 0.207 0.374
Mg1 Mg 0.500 0.000 0.341
Mg2 Mg 0.500 0.124 0.701
Pd1 Pd 0.500 0.167 0.081
Au1 Au 0.000 0.000 0.579
```

volume: 23.51 Å³ per atom
uncorrected energy: -4.294 eV per atom

=====

# 6
First-principles (GGA-PBE) data for an optimized crystal structure of La3Mg3Pt2Au, as listed in OQMD.

The structure in CIF format:
```
data_La3Mg3Pt2Au
_chemical_formula_sum 'La6 Mg6 Pt4 Au2'
_cell_length_a 4.189
_cell_length_b 13.349
_cell_length_c 7.711
_cell_angle_alpha 90.00
_cell_angle_beta 90.00
_cell_angle_gamma 90.00
_symmetry_space_group_name_H-M 'A m m 2'
_symmetry_Int_Tables_number 38
_symmetry_space_group_name_Hall 'A 2 -2'
loop_
_atom_site_label
_atom_site_type_symbol
_atom_site_fract_x
_atom_site_fract_y
_atom_site_fract_z
La1 La 0.000 0.000 0.000
La2 La 0.000 0.210 0.630
Mg1 Mg 0.500 0.000 0.662
Mg2 Mg 0.500 0.121 0.299
Pt1 Pt 0.500 0.167 0.920
Au1 Au 0.000 0.000 0.419
```

volume: 23.95 Å³ per atom
uncorrected energy: -4.712 eV per atom